TmInAu2 (PBE, optimized geometry); final energy = -4.027 eV/atom; crystal system = orthorhombic
1.0
4.516 0.000 0.000
0.000 1.869 5.295
0.000 -1.869 5.295
Tm In Au
1 1 2
Direct
0.000 0.000 0.000 Tm
0.500 0.715 0.715 In
0.000 0.275 0.275 Au
0.500 0.446 0.446 Au